Entry 1:
DFT (PBE-GGA) results for a geometry-optimized Tm3Zn2Au6 structure.

Calculated values
Its formation energy is -0.582 eV/atom. Its crystal system is tetragonal. Its density of states at the Fermi level is 5.30 states/eV per cell. Its total energy is -3.821 eV/atom. The total magnetization comes out at 0.00 μB/f.u.

Unit cell a=12.9805 b=12.9805 c=12.9805 alpha=161.20 beta=161.20 gamma=26.71
Atoms (fractional coordinates):
Tm  0.0000  0.0000  0.0000
Tm  0.1995  0.1995  0.0000
Tm  0.8005  0.8005  0.0000
Zn  0.4535  0.4535  0.0000
Zn  0.5465  0.5465  0.0000
Au  0.1054  0.6054  0.5000
Au  0.3130  0.3130  0.0000
Au  0.3946  0.8946  0.5000
Au  0.6054  0.1054  0.5000
Au  0.6870  0.6870  0.0000
Au  0.8946  0.3946  0.5000



Entry 2:
DFT (PBE-GGA) results for a geometry-optimized Tm4Zn5Au6 structure.

Calculated values
Its formation energy is -0.575 eV/atom. Its crystal system is orthorhombic. Its density of states at the Fermi level is 15.19 states/eV per cell. Its total energy is -3.503 eV/atom. The total magnetization comes out at 0.00 μB/f.u.

Unit cell a=11.0151 b=11.0151 c=14.6651 alpha=90.00 beta=90.00 gamma=159.85
Atoms (fractional coordinates):
Tm  0.0230  0.9770  0.5000
Tm  0.0526  0.9474  0.7692
Tm  0.1390  0.8610  0.2794
Tm  0.1852  0.8148  0.9401
Tm  0.8148  0.1852  0.4401
Tm  0.8610  0.1390  0.7794
Tm  0.9474  0.0526  0.2692
Tm  0.9770  0.0230  0.0000
Zn  0.1763  0.8237  0.6365
Zn  0.3090  0.6910  0.6098
Zn  0.3317  0.6683  0.2740
Zn  0.3621  0.6379  0.9542
Zn  0.4658  0.5342  0.6583
Zn  0.5342  0.4658  0.1583
Zn  0.6379  0.3621  0.4542
Zn  0.6683  0.3317  0.7740
Zn  0.6910  0.3090  0.1098
Zn  0.8237  0.1763  0.1365
Au  0.1014  0.8986  0.0886
Au  0.2191  0.7809  0.4703
Au  0.2590  0.7410  0.7742
Au  0.4103  0.5897  0.1226
Au  0.4191  0.5809  0.4215
Au  0.4576  0.5424  0.8422
Au  0.5424  0.4576  0.3422
Au  0.5809  0.4191  0.9215
Au  0.5897  0.4103  0.6226
Au  0.7410  0.2590  0.2742
Au  0.7809  0.2191  0.9703
Au  0.8986  0.1014  0.5886



Entry 3:
DFT (PBE-GGA) results for a geometry-optimized TmZn3Au4 structure.

Calculated values
Its formation energy is -0.401 eV/atom. Its crystal system is orthorhombic. Its density of states at the Fermi level is 3.90 states/eV per cell. Its total energy is -3.077 eV/atom. The total magnetization comes out at 0.00 μB/f.u.

Unit cell a=9.2167 b=6.7196 c=4.6361 alpha=90.00 beta=90.00 gamma=90.00
Atoms (fractional coordinates):
Tm  0.0000  0.0000  0.0000
Tm  0.5000  0.0000  0.0000
Zn  0.0000  0.5000  0.0000
Zn  0.2500  0.0000  0.4799
Zn  0.2500  0.5000  0.4508
Zn  0.5000  0.5000  0.0000
Zn  0.7500  0.0000  0.5201
Zn  0.7500  0.5000  0.5492
Au  0.0000  0.2702  0.5000
Au  0.0000  0.7298  0.5000
Au  0.2500  0.2708  0.9550
Au  0.2500  0.7292  0.9550
Au  0.5000  0.2702  0.5000
Au  0.5000  0.7298  0.5000
Au  0.7500  0.2708  0.0450
Au  0.7500  0.7292  0.0450



Entry 4:
DFT (PBE-GGA) results for a geometry-optimized Tm3Zn2Au4 structure.

Calculated values
Its formation energy is -0.721 eV/atom. Its crystal system is monoclinic. Its density of states at the Fermi level is 4.79 states/eV per cell. Its total energy is -3.951 eV/atom. The total magnetization comes out at 0.00 μB/f.u.

Unit cell a=5.7200 b=5.7200 c=8.7331 alpha=115.09 beta=115.09 gamma=46.81
Atoms (fractional coordinates):
Tm  0.0000  0.0000  0.0000
Tm  0.3456  0.3456  0.3174
Tm  0.6544  0.6544  0.6826
Zn  0.3625  0.3625  0.6916
Zn  0.6375  0.6375  0.3084
Au  0.0720  0.0720  0.3962
Au  0.2847  0.2847  0.9326
Au  0.7153  0.7153  0.0674
Au  0.9280  0.9280  0.6038